1.
Compound: Pr4Pb3
Source: Alexandria via LeMat-Bulk
Functional: PBE
Structure: optimized geometry

Geometry as POSCAR:
```
Pr4Pb3
1.0
5.081 0.000 0.000
2.540 4.400 0.000
2.540 1.467 11.360
Pr Pb
4 3
direct
0.701 0.701 0.897
0.880 0.880 0.361
0.299 0.299 0.103
0.120 0.120 0.639
0.500 0.500 0.500
0.596 0.596 0.211
0.404 0.404 0.789
```

Values from the calculation:
energy of formation from the pure elements = -2.58 eV per formula unit
total DFT energy (no corrections) = -0.3446 Ry per atom
total magnetic moment = 0.0 μB per cell
ΔE to the lowest computed polymorph = 217 meV/atom

2.
Compound: PrPb5
Source: Alexandria via LeMat-Bulk
Functional: PBE
Structure: optimized geometry

Geometry as POSCAR:
```
PrPb5
1.0
-3.944 -2.378 -1.127
1.504 -3.789 2.730
-4.440 5.003 4.982
Pb Pr
5 1
direct
0.000 0.660 0.319
0.000 0.340 0.681
0.500 0.500 0.000
0.500 0.170 0.339
0.500 0.830 0.661
0.000 0.000 0.000
```

Values from the calculation:
energy of formation from the pure elements = -1.23 eV per formula unit
total DFT energy (no corrections) = -0.3007 Ry per atom
total magnetic moment = 0.0 μB per cell
ΔE to the lowest computed polymorph = 0 meV/atom

3.
Compound: PrPb5
Source: Alexandria via LeMat-Bulk
Functional: PBE
Structure: optimized geometry

Geometry as POSCAR:
```
PrPb5
1.0
-4.154 3.172 -2.348
-1.982 -4.673 -2.807
-1.306 -2.779 5.547
Pr Pb
1 5
direct
0.972 0.000 0.944
0.812 0.500 0.625
0.653 0.000 0.306
0.472 0.500 0.945
0.291 0.000 0.582
0.132 0.500 0.264
```

Values from the calculation:
energy of formation from the pure elements = -0.88 eV per formula unit
total DFT energy (no corrections) = -0.2965 Ry per atom
total magnetic moment = 0.0 μB per cell
ΔE to the lowest computed polymorph = 58 meV/atom

4.
Compound: Pr2Pb
Source: Alexandria via LeMat-Bulk
Functional: PBE
Structure: optimized geometry

Geometry as POSCAR:
```
Pr2Pb
1.0
-0.137 2.285 4.564
-4.333 -5.089 2.417
8.571 -5.797 3.160
Pr Pb
8 4
direct
0.750 0.921 0.793
0.250 0.579 0.293
0.750 0.421 0.707
0.250 0.079 0.207
0.750 0.833 0.449
0.250 0.667 0.949
0.750 0.333 0.051
0.250 0.167 0.551
0.750 0.307 0.374
0.250 0.193 0.874
0.750 0.807 0.126
0.250 0.693 0.626
```

Values from the calculation:
energy of formation from the pure elements = -1.37 eV per formula unit
total DFT energy (no corrections) = -0.3586 Ry per atom
total magnetic moment = 0.0 μB per cell